! NbVMo | Alexandria | PBE | relaxed; values from VASP
! Space group = P-3m1 (164)
! Crystal system = trigonal
! Density = 6.5 g/cm3
! Relative energy among the computed polymorphs = 1116 meV/atom
! Energy of formation = 1.043 eV/atom
! Electronic total energy = -8.964 eV per atom
! Fermi-level density of states = 6.46 states/eV/cell
&SYSTEM
  ibrav = 0, nat = 6, ntyp = 3
/
ATOMIC_SPECIES
Mo 95.94 Mo.upf
Nb 92.91 Nb.upf
V 50.94 V.upf
CELL_PARAMETERS angstrom
4.079 0.000 0.000
-2.039 3.532 0.000
0.000 0.000 8.486
ATOMIC_POSITIONS crystal
Mo 0.667 0.333 0.200
Mo 0.333 0.667 0.800
Nb 0.000 0.000 0.333
Nb 0.000 0.000 0.667
V 0.667 0.333 0.891
V 0.333 0.667 0.109